Material: BP2Au
Method: DFT, PBE
State: optimized geometry

Lattice parameters (Å, degrees): 8.3001 3.1100 5.5499 90.00 97.02 90.00
With the nearest neighbours (Å) after each atom.
Space group Cm (No. 8)
Unique sites:
B: 0.0000 0.0000 0.0000  3 P 1.90-1.94
P: 0.1517 0.0000 0.7608  1 B 1.94
P: 0.3730 0.0000 0.0372  2 B 1.90
Au: 0.1938 0.0000 0.3449  1 B 2.35, 2 P 2.38-2.40

N(E_F) (states/eV per cell): 2.55
Energy (eV/atom): -5.0302
M_tot (μB/cell): 0.0